Entry 1:
! PBEsol LiOF3, relaxed; values from VASP
! Energy, eV per atom: -3.072
! Raw formation energy, eV/atom: -0.47
! ρ, g/cm3: 2.589
! Magnetization, μB per formula unit: 4.00
! Symmetry: Pm-3m
&SYSTEM
  ibrav = 0, nat = 5, ntyp = 3
/
ATOMIC_SPECIES
Li 6.94 Li.upf
F 19.00 F.upf
O 16.00 O.upf
ATOMIC_POSITIONS crystal
Li 0.500 0.500 0.500
F 0.000 0.500 0.500
F 0.500 0.000 0.500
F 0.500 0.500 0.000
O 0.000 0.000 0.000
CELL_PARAMETERS angstrom
-2.021 -0.163 3.113
-2.600 -1.958 -1.791
1.719 -3.153 0.951

***

Entry 2:
! PBEsol CaZn2Ni, relaxed; values from VASP
! Energy, eV per atom: -2.893
! DFT formation energy, eV/atom: -0.030
! ρ, g/cm3: 5.289
! Magnetization, μB per formula unit: 0.00
! Symmetry: Amm2
&SYSTEM
  ibrav = 0, nat = 4, ntyp = 3
/
ATOMIC_SPECIES
Zn 65.41 Zn.upf
Ca 40.08 Ca.upf
Ni 58.69 Ni.upf
ATOMIC_POSITIONS crystal
Zn 0.756 0.500 0.138
Zn 0.199 0.000 0.022
Ca 0.466 0.000 0.555
Ni 0.079 0.500 0.784
CELL_PARAMETERS angstrom
-2.472 0.635 -2.336
-1.134 -3.722 0.188
-2.169 0.918 5.102

***

Entry 3:
! PBEsol Th7Fe3, relaxed; values from VASP
! Energy, eV per atom: -8.496
! DFT formation energy, eV/atom: -0.132
! ρ, g/cm3: 12.398
! Magnetization, μB per formula unit: 0.00
! Symmetry: P6_3mc
&SYSTEM
  ibrav = 0, nat = 20, ntyp = 2
/
ATOMIC_SPECIES
Fe 55.84 Fe.upf
Th 232.04 Th.upf
ATOMIC_POSITIONS crystal
Fe 0.706 0.184 0.816
Fe 0.206 0.816 0.632
Fe 0.706 0.632 0.816
Fe 0.706 0.184 0.368
Fe 0.206 0.368 0.184
Fe 0.206 0.816 0.184
Th 0.247 0.751 0.876
Th 0.948 0.085 0.543
Th 0.747 0.249 0.124
Th 0.448 0.543 0.457
Th 0.467 0.333 0.667
Th 0.247 0.124 0.249
Th 0.948 0.457 0.915
Th 0.448 0.543 0.085
Th 0.747 0.876 0.751
Th 0.967 0.667 0.333
Th 0.747 0.876 0.124
Th 0.247 0.124 0.876
Th 0.448 0.915 0.457
Th 0.948 0.457 0.543
CELL_PARAMETERS angstrom
-0.794 6.041 -0.664
-6.279 -0.040 7.141
9.231 1.411 1.793

***

Entry 4:
! PBEsol Ga2HgBi2, relaxed; values from VASP
! Energy, eV per atom: -3.085
! DFT formation energy, eV/atom: 0.079
! ρ, g/cm3: 9.633
! Magnetization, μB per formula unit: 0.00
! Symmetry: I4/mmm
! Distance to the lowest polymorph of the same formula, meV per atom: 0
&SYSTEM
  ibrav = 0, nat = 5, ntyp = 3
/
ATOMIC_SPECIES
Ga 69.72 Ga.upf
Bi 208.98 Bi.upf
Hg 200.59 Hg.upf
ATOMIC_POSITIONS crystal
Ga 0.750 0.250 0.500
Ga 0.250 0.750 0.500
Bi 0.383 0.383 0.766
Bi 0.617 0.617 0.234
Hg 0.000 0.000 0.000
CELL_PARAMETERS angstrom
-0.813 3.944 -0.873
-1.587 -1.131 -3.631
-5.739 -2.116 5.505

***

Entry 5:
! PBEsol Cs2BC, relaxed; values from VASP
! Energy, eV per atom: -2.450
! DFT formation energy, eV/atom: 2.186
! ρ, g/cm3: 4.148
! Magnetization, μB per formula unit: 1.00
! Symmetry: Fm-3m
&SYSTEM
  ibrav = 0, nat = 4, ntyp = 3
/
ATOMIC_SPECIES
C 12.01 C.upf
Cs 132.91 Cs.upf
B 10.81 B.upf
ATOMIC_POSITIONS crystal
C 0.500 0.500 0.500
Cs 0.750 0.750 0.750
Cs 0.250 0.250 0.250
B 0.000 0.000 0.000
CELL_PARAMETERS angstrom
5.467 0.000 0.000
2.734 4.735 0.000
2.734 1.578 4.464

***

Entry 6:
! PBEsol Cs2HfBr6, relaxed; values from VASP
! Energy, eV per atom: -4.296
! Raw formation energy, eV/atom: -1.67
! ρ, g/cm3: 4.925
! Magnetization, μB per formula unit: 0.00
! Symmetry: Fm-3m
&SYSTEM
  ibrav = 0, nat = 9, ntyp = 3
/
ATOMIC_SPECIES
Br 79.90 Br.upf
Hf 178.49 Hf.upf
Cs 132.91 Cs.upf
ATOMIC_POSITIONS crystal
Br 0.241 0.241 0.759
Br 0.241 0.759 0.241
Br 0.759 0.241 0.241
Br 0.759 0.241 0.759
Br 0.759 0.759 0.241
Br 0.241 0.759 0.759
Hf 0.000 0.000 0.000
Cs 0.750 0.750 0.750
Cs 0.250 0.250 0.250
CELL_PARAMETERS angstrom
7.609 0.000 0.000
3.804 6.589 0.000
3.804 2.196 6.212

***

Entry 7:
! PBEsol Li3V2Fe3O10, relaxed; values from VASP
! Energy, eV per atom: -7.626
! Raw formation energy, eV/atom: -1.82
! ρ, g/cm3: 4.337
! Magnetization, μB per formula unit: 10.99
! Symmetry: P-1
&SYSTEM
  ibrav = 0, nat = 18, ntyp = 4
/
ATOMIC_SPECIES
Fe 55.84 Fe.upf
Li 6.94 Li.upf
V 50.94 V.upf
O 16.00 O.upf
ATOMIC_POSITIONS crystal
Fe 0.963 0.320 0.909
Fe 0.500 0.000 0.000
Fe 0.037 0.680 0.091
Li 0.495 0.222 0.606
Li 0.505 0.778 0.394
Li 0.000 0.500 0.500
V 0.956 0.099 0.307
V 0.044 0.901 0.693
O 0.233 0.954 0.841
O 0.218 0.114 0.475
O 0.761 0.687 0.937
O 0.799 0.441 0.340
O 0.201 0.559 0.660
O 0.782 0.886 0.525
O 0.256 0.801 0.232
O 0.239 0.313 0.063
O 0.767 0.046 0.159
O 0.744 0.199 0.768
CELL_PARAMETERS angstrom
5.035 0.012 0.126
1.103 4.907 0.031
2.394 1.718 7.042

***

Entry 8:
! PBEsol K2BeAg, relaxed; values from VASP
! Energy, eV per atom: -1.613
! DFT formation energy, eV/atom: 0.781
! ρ, g/cm3: 2.763
! Magnetization, μB per formula unit: 0.00
! Symmetry: C2/m
&SYSTEM
  ibrav = 0, nat = 4, ntyp = 3
/
ATOMIC_SPECIES
Be 9.01 Be.upf
Ag 107.87 Ag.upf
K 39.10 K.upf
ATOMIC_POSITIONS crystal
Be 0.500 0.000 0.000
Ag 0.000 0.000 0.500
K 0.250 0.499 0.250
K 0.750 0.501 0.750
CELL_PARAMETERS angstrom
2.933 0.000 0.000
-1.466 4.496 0.430
0.000 -1.271 8.769